DFT (PBE+U) results for a relaxed Ca2Mn2O5 crystal.

Geometry as CIF:
```
data_Ca2Mn2O5
_chemical_formula_sum 'Ca4 Mn4 O10'
_cell_length_a 5.470
_cell_length_b 5.611
_cell_length_c 8.475
_cell_angle_alpha 109.26
_cell_angle_beta 108.75
_cell_angle_gamma 90.24
_symmetry_space_group_name_H-M 'P 1'
_symmetry_Int_Tables_number 1
_symmetry_space_group_name_Hall 'P 1'
loop_
_atom_site_label
_atom_site_fract_x
_atom_site_fract_y
_atom_site_fract_z
_atom_site_occupancy
Ca1 0.620 0.130 0.212 1
Ca2 0.390 0.868 0.783 1
Ca3 0.106 0.585 0.217 1
Ca4 0.908 0.418 0.788 1
Mn1 0.014 0.994 0.998 1
Mn2 0.516 0.496 0.002 1
Mn3 0.206 0.192 0.500 1
Mn4 0.719 0.820 0.500 1
O1 0.253 0.239 0.982 1
O2 0.281 0.761 0.038 1
O3 0.744 0.224 0.962 1
O4 0.771 0.758 0.018 1
O5 0.140 0.188 0.266 1
O6 0.919 0.805 0.740 1
O7 0.680 0.565 0.260 1
O8 0.374 0.422 0.734 1
O9 0.844 0.168 0.500 1
O10 0.342 0.867 0.500 1
```

Total DFT energy (no corrections): -126.812 eV for the cell shown
Spin magnetization: 16.0 μB per cell
Excess energy over the best structure of this formula in the dataset: 0.003 eV/atom
V: 12.8 Å³/atom